[1]
Crystalline Ce2BeAl4Pd3 at its relaxed geometry, computed with PBE.

Geometry as POSCAR:
```
Ce2BeAl4Pd3
1.0
-2.113 -3.057 2.100
3.512 -0.873 2.264
-2.870 6.856 7.094
Al Ce Pd Be
4 2 3 1
Cartesian
0.676 2.145 3.803
0.000 0.000 0.000
-2.846 2.746 5.473
0.699 -1.965 2.182
-1.798 0.242 2.882
-0.373 4.648 6.394
-1.435 3.428 3.547
-3.542 4.408 7.194
1.371 0.482 2.083
-0.736 1.463 5.729
```

* density: 6.35 g/cm3
* raw total energy: -52.59 eV for the cell shown
* crystal system: tetragonal
* M_tot: 1.3 Bohr magnetons per cell
* space-group type: P-4m2 (115)
* ΔE_f: -644 meV per atom
* DOS at the Fermi energy: 13.6 states/eV per cell


[2]
Crystalline LiLaPrLu at its relaxed geometry, computed with PBE.

Geometry as POSCAR:
```
LiLaPrLu
1.0
5.610 0.000 0.000
2.805 4.859 0.000
2.805 1.620 4.581
Pr La Lu Li
1 1 1 1
Cartesian
8.415 4.859 3.436
2.805 1.620 1.145
5.610 3.239 2.290
0.000 0.000 0.000
```

* density: 6.14 g/cm3
* raw total energy: -15.64 eV for the cell shown
* crystal system: cubic
* M_tot: 0.0 Bohr magnetons per cell
* space-group type: F-43m (216)
* ΔE_f: 125 meV per atom
* DOS at the Fermi energy: 4.3 states/eV per cell


[3]
Crystalline CaTa2Co2 at its relaxed geometry, computed with PBE.

Geometry as POSCAR:
```
CaTa2Co2
1.0
4.458 0.000 0.000
0.000 4.458 0.000
2.229 2.229 4.830
Co Ta Ca
2 2 1
Cartesian
2.229 4.458 2.415
4.458 2.229 2.415
4.458 4.458 3.392
2.229 2.229 1.438
0.000 0.000 0.000
```

* density: 8.99 g/cm3
* raw total energy: -38.16 eV for the cell shown
* crystal system: tetragonal
* M_tot: 0.0 Bohr magnetons per cell
* space-group type: I4/mmm (139)
* ΔE_f: 352 meV per atom
* DOS at the Fermi energy: 6.0 states/eV per cell
* offset from the most stable computed form: 0.361 eV/atom


[4]
Crystalline Tb4PmAl2 at its relaxed geometry, computed with PBE.

Geometry as POSCAR:
```
Tb4PmAl2
1.0
-5.365 -7.460 4.980
-0.471 -3.530 -5.796
5.191 -0.960 4.155
Tb Pm Al
8 2 4
Cartesian
-1.663 -7.840 2.914
1.019 -4.110 0.425
0.784 -5.875 -2.473
-1.428 -6.075 5.812
4.092 -3.927 2.059
3.373 -3.489 5.842
-4.017 -8.461 -2.503
-4.736 -8.023 1.281
-2.918 -5.495 -0.408
0.000 0.000 0.000
2.704 -1.487 0.686
2.017 -3.003 -2.327
-0.430 -4.968 3.061
-0.214 -6.982 0.278
```

* density: 6.73 g/cm3
* raw total energy: -61.95 eV for the cell shown
* crystal system: orthorhombic
* M_tot: 0.0 Bohr magnetons per cell
* space-group type: Fmmm (69)
* ΔE_f: -31 meV per atom
* DOS at the Fermi energy: 18.8 states/eV per cell
* offset from the most stable computed form: 0.000 eV/atom


[5]
Crystalline LaBe2Ga2 at its relaxed geometry, computed with PBE.

Geometry as POSCAR:
```
LaBe2Ga2
1.0
-1.940 -1.811 -3.183
3.079 -2.756 -0.309
-1.810 -5.297 1.419
Be Ga La
2 2 1
Cartesian
-1.590 -4.696 -1.754
0.919 -5.168 -0.317
-0.055 -3.074 -0.915
-0.616 -6.789 -1.157
0.000 0.000 0.000
```

* density: 5.76 g/cm3
* raw total energy: -20.20 eV for the cell shown
* crystal system: tetragonal
* M_tot: 0.0 Bohr magnetons per cell
* space-group type: I4/mmm (139)
* ΔE_f: -354 meV per atom
* DOS at the Fermi energy: 1.6 states/eV per cell


[6]
Crystalline LiRu2SI at its relaxed geometry, computed with PBE.

Geometry as POSCAR:
```
LiRu2SI
1.0
-0.522 3.369 -2.793
-3.240 2.015 3.035
3.251 2.181 2.023
Li I Ru S
1 1 2 1
Cartesian
-1.620 1.007 1.518
-0.255 3.782 1.133
-0.261 1.684 -1.396
1.626 1.090 1.012
0.000 0.000 0.000
```

* density: 6.46 g/cm3
* raw total energy: -24.86 eV for the cell shown
* crystal system: tetragonal
* formation energy from raw total energies: 0.26 eV/atom
* M_tot: 1.1 Bohr magnetons per cell
* space-group type: P4/mmm (123)
* DOS at the Fermi energy: 3.7 states/eV per cell
* offset from the most stable computed form: 0.000 eV/atom